1.
! BeTcRh3 | the Alexandria database | PBE | relaxed; values from VASP
! uncorrected energy	-34.525	eV/f.u.
! formation energy from the elements	31	kJ/mol of atoms
! mass density	9.96	g cm⁻³
! total magnetization	2.91	μB/cell
! symmetry	No. 221
! D(E_F)	6.01	states/eV per cell
&SYSTEM
  ibrav = 0, nat = 5, ntyp = 3
/
ATOMIC_SPECIES
Be 9.01 Be.upf
Tc 98.00 Tc.upf
Rh 102.91 Rh.upf
CELL_PARAMETERS angstrom
4.107 0.000 0.000
0.000 4.107 0.000
0.000 0.000 4.107
ATOMIC_POSITIONS angstrom
Be 0.000 0.000 0.000
Tc 2.054 2.054 2.054
Rh 0.000 0.000 2.054
Rh 0.000 2.054 0.000
Rh 2.054 0.000 0.000

2.
! GeMo3P | the Alexandria database | PBE | relaxed; values from VASP
! uncorrected energy	-39.564	eV/f.u.
! formation energy from the elements	57	kJ/mol of atoms
! mass density	7.40	g cm⁻³
! total magnetization	0.00	μB/cell
! symmetry	No. 221
! D(E_F)	4.62	states/eV per cell
&SYSTEM
  ibrav = 0, nat = 5, ntyp = 3
/
ATOMIC_SPECIES
Ge 72.64 Ge.upf
Mo 95.94 Mo.upf
P 30.97 P.upf
CELL_PARAMETERS angstrom
4.445 0.000 0.000
0.000 4.445 0.000
0.000 0.000 4.445
ATOMIC_POSITIONS angstrom
Ge 0.000 0.000 0.000
Mo 0.000 2.222 2.222
Mo 2.222 0.000 2.222
Mo 2.222 2.222 0.000
P 2.222 2.222 2.222

3.
! Nd2YCl | the Alexandria database | PBE | relaxed; values from VASP
! raw formation energy	-667.4	meV per atom
! uncorrected energy	-20.516	eV/f.u.
! mass density	5.63	g cm⁻³
! total magnetization	0.00	μB/cell
! symmetry	No. 166
! D(E_F)	12.69	states/eV per cell
&SYSTEM
  ibrav = 0, nat = 12, ntyp = 3
/
ATOMIC_SPECIES
Nd 144.24 Nd.upf
Y 88.91 Y.upf
Cl 35.45 Cl.upf
CELL_PARAMETERS angstrom
3.684 0.000 0.000
-1.842 3.191 0.000
0.000 0.000 31.087
ATOMIC_POSITIONS angstrom
Nd 0.000 0.000 7.447
Nd 0.000 0.000 23.640
Nd 0.000 2.127 13.278
Nd 0.000 2.127 28.172
Nd 1.842 1.064 2.916
Nd 1.842 1.064 17.809
Y 0.000 0.000 0.000
Y 0.000 2.127 20.725
Y 1.842 1.064 10.362
Cl 0.000 0.000 15.544
Cl 0.000 2.127 5.181
Cl 1.842 1.064 25.906

4.
! BMo3Cl | the Alexandria database | PBE | relaxed; values from VASP
! raw formation energy	930.2	meV per atom
! uncorrected energy	-36.367	eV/f.u.
! mass density	7.13	g cm⁻³
! total magnetization	0.00	μB/cell
! symmetry	No. 221
! D(E_F)	6.26	states/eV per cell
&SYSTEM
  ibrav = 0, nat = 5, ntyp = 3
/
ATOMIC_SPECIES
B 10.81 B.upf
Mo 95.94 Mo.upf
Cl 35.45 Cl.upf
CELL_PARAMETERS angstrom
4.269 0.000 0.000
0.000 4.269 0.000
0.000 0.000 4.269
ATOMIC_POSITIONS angstrom
B 0.000 0.000 0.000
Mo 0.000 0.000 2.134
Mo 0.000 2.134 0.000
Mo 2.134 0.000 0.000
Cl 2.134 2.134 2.134

5.
! LaNdYHo3 | the Alexandria database | PBE | relaxed; values from VASP
! uncorrected energy	-29.240	eV/f.u.
! formation energy from the elements	10	kJ/mol of atoms
! mass density	7.23	g cm⁻³
! total magnetization	0.00	μB/cell
! symmetry	No. 63
! D(E_F)	24.90	states/eV per cell
&SYSTEM
  ibrav = 0, nat = 12, ntyp = 4
/
ATOMIC_SPECIES
La 138.91 La.upf
Nd 144.24 Nd.upf
Y 88.91 Y.upf
Ho 164.93 Ho.upf
CELL_PARAMETERS angstrom
2.954 -5.706 0.000
2.954 5.706 0.000
0.000 0.000 11.818
ATOMIC_POSITIONS angstrom
La 2.954 5.668 8.864
La 2.954 -5.668 2.955
Nd 2.954 0.000 0.000
Nd 2.954 0.000 5.909
Y 2.954 1.976 8.864
Y 2.954 -1.976 2.955
Ho 2.954 3.710 0.030
Ho 2.954 3.710 5.879
Ho 2.954 1.957 2.955
Ho 2.954 -1.957 8.864
Ho 2.954 -3.710 5.939
Ho 2.954 -3.710 11.788

6.
! LiCr2Os | the Alexandria database | PBE | relaxed; values from VASP
! uncorrected energy	-30.742	eV/f.u.
! formation energy from the elements	40	kJ/mol of atoms
! mass density	10.26	g cm⁻³
! total magnetization	0.00	μB/cell
! symmetry	No. 123
! D(E_F)	3.94	states/eV per cell
&SYSTEM
  ibrav = 0, nat = 4, ntyp = 3
/
ATOMIC_SPECIES
Li 6.94 Li.upf
Cr 52.00 Cr.upf
Os 190.23 Os.upf
CELL_PARAMETERS angstrom
3.627 0.000 0.000
0.000 3.627 0.000
0.000 0.000 3.705
ATOMIC_POSITIONS angstrom
Li 0.000 0.000 0.000
Cr 0.000 1.814 1.852
Cr 1.814 0.000 1.852
Os 1.814 1.814 0.000

7.
! Ca5TmGa6 | the Alexandria database | PBE | relaxed; values from VASP
! uncorrected energy	-38.200	eV/f.u.
! formation energy from the elements	-45	kJ/mol of atoms
! mass density	4.51	g cm⁻³
! total magnetization	0.00	μB/cell
! symmetry	No. 12
! D(E_F)	6.43	states/eV per cell
&SYSTEM
  ibrav = 0, nat = 12, ntyp = 3
/
ATOMIC_SPECIES
Ca 40.08 Ca.upf
Tm 168.93 Tm.upf
Ga 69.72 Ga.upf
CELL_PARAMETERS angstrom
8.106 -3.655 0.000
8.106 3.655 0.000
-1.600 0.000 4.895
ATOMIC_POSITIONS angstrom
Ca 0.000 0.000 0.000
Ca 1.576 0.000 3.244
Ca 4.741 0.000 1.586
Ca 9.872 0.000 3.308
Ca 13.037 0.000 1.651
Tm 8.106 0.000 0.000
Ga 4.145 1.728 4.102
Ga 7.306 1.677 2.447
Ga 10.468 1.728 0.793
Ga 4.145 -1.728 4.102
Ga 7.306 -1.677 2.447
Ga 10.468 -1.728 0.793

8.
! Pa2HgAs | the Alexandria database | PBE | relaxed; values from VASP
! uncorrected energy	-25.279	eV/f.u.
! formation energy from the elements	-32	kJ/mol of atoms
! mass density	13.16	g cm⁻³
! total magnetization	0.00	μB/cell
! symmetry	No. 123
! D(E_F)	7.50	states/eV per cell
&SYSTEM
  ibrav = 0, nat = 4, ntyp = 3
/
ATOMIC_SPECIES
Pa 231.04 Pa.upf
Hg 200.59 Hg.upf
As 74.92 As.upf
CELL_PARAMETERS angstrom
3.406 0.000 0.000
0.000 3.406 0.000
0.000 0.000 8.021
ATOMIC_POSITIONS angstrom
Pa 0.000 0.000 1.763
Pa 0.000 0.000 6.258
Hg 1.703 1.703 4.010
As 1.703 1.703 0.000

9.
! MgGa6Fe6 | the Alexandria database | PBE | relaxed; values from VASP
! uncorrected energy	-72.993	eV/f.u.
! formation energy from the elements	-18	kJ/mol of atoms
! mass density	7.13	g cm⁻³
! total magnetization	11.02	μB/cell
! symmetry	No. 71
! D(E_F)	5.12	states/eV per cell
&SYSTEM
  ibrav = 0, nat = 13, ntyp = 3
/
ATOMIC_SPECIES
Mg 24.30 Mg.upf
Ga 69.72 Ga.upf
Fe 55.84 Fe.upf
CELL_PARAMETERS angstrom
-2.494 4.207 4.315
2.494 -4.207 4.315
2.494 4.207 -4.315
ATOMIC_POSITIONS angstrom
Mg 0.000 0.000 0.000
Ga 2.494 0.000 1.511
Ga 0.000 2.665 0.000
Ga 0.000 0.000 2.932
Ga 0.000 0.000 5.698
Ga 0.000 5.749 0.000
Ga 0.000 4.207 2.804
Fe 1.247 2.103 -2.158
Fe 1.247 -2.103 2.158
Fe 2.494 2.070 0.000
Fe -1.247 2.103 2.158
Fe 1.247 2.103 2.158
Fe 0.000 2.137 4.315

10.
! SrPr3Hg6 | the Alexandria database | PBE | relaxed; values from VASP
! uncorrected energy	-22.216	eV/f.u.
! formation energy from the elements	-42	kJ/mol of atoms
! mass density	9.94	g cm⁻³
! total magnetization	0.00	μB/cell
! symmetry	No. 11
! D(E_F)	15.79	states/eV per cell
&SYSTEM
  ibrav = 0, nat = 20, ntyp = 3
/
ATOMIC_SPECIES
Sr 87.62 Sr.upf
Pr 140.91 Pr.upf
Hg 200.59 Hg.upf
CELL_PARAMETERS angstrom
9.648 0.000 0.000
0.000 5.319 0.000
-3.417 0.000 11.157
ATOMIC_POSITIONS angstrom
Sr -0.762 1.330 4.383
Sr 6.992 3.990 6.773
Pr 2.096 1.330 0.153
Pr 0.718 3.990 8.917
Pr 2.623 1.330 6.919
Pr 3.607 3.990 4.237
Pr 5.513 1.330 2.240
Pr 4.135 3.990 11.004
Hg -2.423 3.990 9.993
Hg 0.722 3.990 2.172
Hg -0.739 1.330 7.861
Hg 0.761 3.990 5.730
Hg 2.290 1.330 3.345
Hg 4.161 3.990 0.947
Hg 2.070 1.330 10.210
Hg 3.941 3.990 7.812
Hg 5.469 1.330 5.426
Hg 6.970 3.990 3.296
Hg 5.508 1.330 8.984
Hg 8.653 1.330 1.163